Record 1
Compound: YHg4Pt
Source: Alexandria via LeMat-Bulk
Functional: GGA-PBE
Structure: relaxed

## Properties
SG	F-43m, No. 216
M_tot	0.0	μB/f.u.
calculated total energy	-13.67	eV per cell

Cell: 5.7691 5.7691 5.7691 Å, 60.00 60.00 60.00°
Positions (direct):
Pt1 0.7500 0.7500 0.7500
Hg1 0.8740 0.3753 0.3753
Y1 0.0000 0.0000 0.0000
Hg2 0.3753 0.3753 0.3753
Hg3 0.3753 0.3753 0.8740
Hg4 0.3753 0.8740 0.3753

---

Record 2
Compound: YIr2Ru2
Source: Alexandria via LeMat-Bulk
Functional: GGA-PBE
Structure: relaxed

## Properties
SG	I4/mmm, No. 139
E above lowest polymorph	0.003	eV/atom
M_tot	0.0	μB/f.u.
calculated total energy	-43.40	eV per cell

Cell: 4.0069 4.0069 6.3000 Å, 71.46 71.46 90.00°
Positions (direct):
Ru1 0.2500 0.7500 0.5000
Ru2 0.7500 0.2500 0.5000
Ir1 0.6062 0.6062 0.7877
Y1 0.0000 0.0000 0.0000
Ir2 0.3938 0.3938 0.2123

---

Record 3
Compound: CaZrRh2
Source: Alexandria via LeMat-Bulk
Functional: GGA-PBE
Structure: relaxed

## Properties
SG	Pmm2, No. 25
E above lowest polymorph	0.389	eV/atom
M_tot	0.0	μB/f.u.
calculated total energy	-26.45	eV per cell

Cell: 3.1136 4.5208 5.5175 Å, 90.00 90.00 90.00°
Positions (direct):
Rh1 0.5000 0.5000 0.3089
Ca1 0.5000 0.5000 0.8145
Rh2 0.0000 0.0000 0.9474
Zr1 0.0000 0.0000 0.4292

---

Record 4
Compound: Ba3SiP
Source: Alexandria via LeMat-Bulk
Functional: GGA-PBE
Structure: relaxed

## Properties
SG	Pm-3m, No. 221
E above lowest polymorph	0.000	eV/atom
uncorrected formation energy	-272	meV/atom
M_tot	1.0	μB/f.u.
calculated total energy	-17.96	eV per cell

Cell: 6.1204 6.1204 6.1204 Å, 90.00 90.00 90.00°
Each line ends with the local moment (μB).
Positions (direct):
P1 0.0000 0.0000 0.0000  0.00
Ba1 0.0000 0.0000 0.5000  0.01
Si1 0.5000 0.5000 0.5000  0.19
Ba2 0.0000 0.5000 0.0000  0.02
Ba3 0.5000 0.0000 0.0000  0.02